# NbV2As

A relaxed structure of NbV2As (PBE, Alexandria via LeMat-Bulk).

Output
ΔE_f in kcal/mol of atoms: -5.50
Total moment in μB/f.u.: 0.000

abc: 3.804 3.948 3.948
angles: 90.00 90.00 90.00
Element x y z (fractional)
As 0.500 0.000 0.000
V 0.000 0.500 0.000
V 0.000 0.000 0.500
Nb 0.500 0.500 0.500

=====

# Na2AgBr

A relaxed structure of Na2AgBr (PBE, Alexandria via LeMat-Bulk).

Output
Formation energy without anion corrections in eV per atom: -0.64
Distance to the lowest polymorph of the same formula in eV/atom: 0.000
Total moment in μB/f.u.: 0.000

abc: 4.219 4.219 7.772
angles: 74.25 74.25 60.00
Element x y z (fractional)
Ag 0.500 0.500 0.500
Na 0.254 0.254 0.237
Na 0.746 0.746 0.763
Br 0.000 0.000 0.000